1.
VASP calculation (PBE) on crystalline HfTaP2O at its relaxed geometry.

Lattice parameters (Å, degrees): 4.993 4.993 3.804 90.00 90.00 90.00
Sites, in units of the cell vectors:
P1 0.500 0.000 0.000
P2 0.000 0.500 0.000
O1 0.000 0.000 0.500
Hf1 0.000 0.000 0.000
Ta1 0.500 0.500 0.500

Computed properties:
crystal system	tetragonal
symmetry	No. 123
ΔE to the lowest computed polymorph	478	meV per atom

***

2.
VASP calculation (PBE) on crystalline HfTaPO2 at its relaxed geometry.

Lattice parameters (Å, degrees): 3.920 3.920 5.466 90.00 90.00 90.00
Each line ends with the local moment (μB).
Sites, in units of the cell vectors:
O1 0.500 0.000 0.000  0.02
O2 0.000 0.500 0.000  0.02
Hf1 0.000 0.000 0.000  0.00
P1 0.000 0.000 0.500  -0.05
Ta1 0.500 0.500 0.500  1.28

Computed properties:
crystal system	tetragonal
symmetry	No. 123
ΔE to the lowest computed polymorph	264	meV per atom

***

3.
VASP calculation (PBE) on crystalline HfTaPO2 at its relaxed geometry.

Lattice parameters (Å, degrees): 3.881 3.881 5.214 90.00 90.00 90.00
Each line ends with the local moment (μB).
Sites, in units of the cell vectors:
P1 0.000 0.000 0.500  0.00
Hf1 0.500 0.500 0.500  0.09
Ta1 0.000 0.000 0.000  0.01
O1 0.500 0.000 0.000  0.01
O2 0.000 0.500 0.000  0.01

Computed properties:
crystal system	tetragonal
symmetry	No. 123
ΔE to the lowest computed polymorph	0	meV per atom

***

4.
VASP calculation (PBE) on crystalline HfTaP2O at its relaxed geometry.

Lattice parameters (Å, degrees): 4.911 4.911 3.768 90.00 90.00 90.00
Sites, in units of the cell vectors:
Ta1 0.000 0.000 0.000
P1 0.500 0.000 0.000
P2 0.000 0.500 0.000
O1 0.000 0.000 0.500
Hf1 0.500 0.500 0.500

Computed properties:
crystal system	tetragonal
symmetry	No. 123
ΔE to the lowest computed polymorph	0	meV per atom

***

5.
VASP calculation (PBE) on crystalline HfTcPO2 at its relaxed geometry.

Lattice parameters (Å, degrees): 3.784 3.784 5.194 90.00 90.00 90.00
Sites, in units of the cell vectors:
Hf1 0.500 0.500 0.500
Tc1 0.000 0.000 0.000
O1 0.000 0.500 0.000
O2 0.500 0.000 0.000
P1 0.000 0.000 0.500

Computed properties:
crystal system	tetragonal
symmetry	No. 123
ΔE to the lowest computed polymorph	232	meV per atom

***

6.
VASP calculation (PBE) on crystalline HfTcP2O at its relaxed geometry.

Lattice parameters (Å, degrees): 5.080 5.080 3.876 90.00 90.00 90.00
Each line ends with the local moment (μB).
Sites, in units of the cell vectors:
P1 0.000 0.500 0.000  -0.15
P2 0.500 0.000 0.000  -0.15
Hf1 0.000 0.000 0.000  0.00
O1 0.000 0.000 0.500  -0.02
Tc1 0.500 0.500 0.500  3.30

Computed properties:
crystal system	tetragonal
symmetry	No. 123
ΔE to the lowest computed polymorph	248	meV per atom

***

7.
VASP calculation (PBE) on crystalline HfTcPO2 at its relaxed geometry.

Lattice parameters (Å, degrees): 3.947 3.947 5.538 90.00 90.00 90.00
Each line ends with the local moment (μB).
Sites, in units of the cell vectors:
Tc1 0.500 0.500 0.500  3.39
O1 0.500 0.000 0.000  0.09
O2 0.000 0.500 0.000  0.09
P1 0.000 0.000 0.500  -0.03
Hf1 0.000 0.000 0.000  0.01

Computed properties:
crystal system	tetragonal
symmetry	No. 123
ΔE to the lowest computed polymorph	0	meV per atom

***

8.
VASP calculation (PBE) on crystalline HfTcP2O at its relaxed geometry.

Lattice parameters (Å, degrees): 4.806 4.806 3.635 90.00 90.00 90.00
Sites, in units of the cell vectors:
P1 0.500 0.000 0.000
P2 0.000 0.500 0.000
Hf1 0.500 0.500 0.500
Tc1 0.000 0.000 0.000
O1 0.000 0.000 0.500

Computed properties:
crystal system	tetragonal
symmetry	No. 123
ΔE to the lowest computed polymorph	0	meV per atom

***

9.
VASP calculation (PBE) on crystalline HfTeP2O at its relaxed geometry.

Lattice parameters (Å, degrees): 4.991 4.991 3.935 90.00 90.00 90.00
Sites, in units of the cell vectors:
O1 0.000 0.000 0.500
P1 0.000 0.500 0.000
P2 0.500 0.000 0.000
Hf1 0.500 0.500 0.500
Te1 0.000 0.000 0.000

Computed properties:
crystal system	tetragonal
symmetry	No. 123
ΔE to the lowest computed polymorph	811	meV per atom

***

10.
VASP calculation (PBE) on crystalline HfTeP2O at its relaxed geometry.

Lattice parameters (Å, degrees): 5.198 3.923 5.198 90.00 90.00 90.00
Sites, in units of the cell vectors:
P1 0.500 0.000 0.000
P2 0.000 0.000 0.500
Hf1 0.000 0.000 0.000
Te1 0.500 0.500 0.500
O1 0.000 0.500 0.000

Computed properties:
crystal system	tetragonal
symmetry	No. 123
ΔE to the lowest computed polymorph	0	meV per atom

***

11.
VASP calculation (PBE) on crystalline HfTiP2O at its relaxed geometry.

Lattice parameters (Å, degrees): 4.779 4.779 3.658 90.00 90.00 90.00
Sites, in units of the cell vectors:
Hf1 0.500 0.500 0.500
P1 0.500 0.000 0.000
P2 0.000 0.500 0.000
Ti1 0.000 0.000 0.000
O1 0.000 0.000 0.500

Computed properties:
crystal system	tetragonal
symmetry	No. 123
ΔE to the lowest computed polymorph	0	meV per atom

***

12.
VASP calculation (PBE) on crystalline HfTiP2O at its relaxed geometry.

Lattice parameters (Å, degrees): 5.025 5.025 3.877 90.00 90.00 90.00
Sites, in units of the cell vectors:
Ti1 0.500 0.500 0.500
P1 0.500 0.000 0.000
P2 0.000 0.500 0.000
O1 0.000 0.000 0.500
Hf1 0.000 0.000 0.000

Computed properties:
crystal system	tetragonal
symmetry	No. 123
ΔE to the lowest computed polymorph	305	meV per atom

***

| no. | formation energy from raw total energies (eV/atom) |
| --- | --- |
| 1 | -0.23 |
| 2 | -1.16 |
| 3 | -1.42 |
| 4 | -0.71 |
| 5 | -0.79 |
| 6 | -0.04 |
| 7 | -1.02 |
| 8 | -0.29 |
| 9 | 0.25 |
| 10 | -0.56 |
| 11 | -0.89 |
| 12 | -0.58 |